5
Lattice="-1.7610 1.7610 7.5808 1.7610 -1.7610 7.5808 1.7610 1.7610 -7.5808" Properties=species:S:1:pos:R:3 comment="Ag2Mo2F | Alexandria | PBE with a Hubbard U | optimized geometry" e_above_lowest_polymorph_ev_per_atom=0.000 space_group="No. 139" dos_at_fermi_per_ev_cell=2.9 pbc="T T T"
Ag 0.0000 0.0000 1.4445
Ag 0.0000 0.0000 13.7171
Mo 1.7610 0.0000 3.7904
Mo 0.0000 1.7610 3.7904
F 0.0000 0.0000 7.5808